A crystal of AlZn2Ag relaxed with PBEsol. Source: Alexandria via LeMat-Bulk, functional meta-GGA SCAN.

CIF file:
```
data_AlZn2Ag
_chemical_formula_sum 'Al2 Zn4 Ag2'
_cell_length_a 3.915
_cell_length_b 3.915
_cell_length_c 7.918
_cell_angle_alpha 90.00
_cell_angle_beta 90.00
_cell_angle_gamma 90.00
_space_group_name_H-M_alt 'I 4/m m m'
_space_group_IT_number 139
_space_group_name_Hall '-I 4 2'
loop_
_atom_site_label
_atom_site_type_symbol
_atom_site_fract_x
_atom_site_fract_y
_atom_site_fract_z
_atom_site_occupancy
Al1 Al 0.000 0.000 0.000 1
Zn1 Zn 0.000 0.500 0.250 1
Ag1 Ag 0.000 0.000 0.500 1
```

Summary:
As for the crystal system: tetragonal. The value obtained for the spin magnetization is 0.000 μB per atom. Its volume is 15.17 A^3/atom. For the total energy, the calculation gives -16.542 eV per atom.